# LiCd2Ge

A geometry-optimized LiCd2Ge structure (PBE, the Alexandria database).

DFT formation energy: 68 meV/atom
DOS at the Fermi energy: 0.50 states/eV per atom

a b c (Å): 4.2379 4.2379 19.2715
angles (deg): 90.00 90.00 90.00
Closest atoms and distances in Å follow each position.
Space group I-42d (No. 122)
Inequivalent atoms, fractional coordinates:
Li 0.0000 0.0000 0.0000 [4 per cell]  4 Cd 2.83, 4 Ge 3.00
Cd 0.2446 0.2500 0.1250 [8 per cell]  2 Li 2.83, 2 Ge 2.85, 4 Cd 2.96-3.03
Ge 0.0000 0.0000 0.5000 [4 per cell]  4 Cd 2.85, 4 Li 3.00